Record 1
Cd2AgAu: relaxed, PBE.

Summary:
energy above the most stable polymorph in this dataset	0.052	eV per atom
calculated total energy	-2.0678	eV per atom
ΔH_f (0 K)	-78	meV per atom
space-group type	F-43m

```
Cd2AgAu
1.0
4.790 0.000 0.000
2.395 4.148 0.000
2.395 1.383 3.911
Cd Ag Au
2 1 1
direct
0.000 0.000 0.000
0.250 0.250 0.250
0.500 0.500 0.500
0.750 0.750 0.750
```

Record 2
Cl: relaxed, PBE.

Summary:
E_form (uncorrected)	0.0307	eV/atom
energy above the most stable polymorph in this dataset	0.031	eV per atom
calculated total energy	-1.8159	eV per atom
space-group type	P6_3/m

```
Cl
1.0
11.812 0.000 0.000
-5.906 10.229 0.000
0.000 0.000 4.209
Cl
12
direct
0.543 0.910 0.750
0.860 0.178 0.250
0.457 0.090 0.250
0.319 0.140 0.250
0.090 0.633 0.750
0.681 0.860 0.750
0.633 0.543 0.250
0.367 0.457 0.750
0.178 0.319 0.750
0.822 0.681 0.250
0.140 0.822 0.750
0.910 0.367 0.250
```

Record 3
Sr2LiTlNi: relaxed, PBE.

Summary:
energy above the most stable polymorph in this dataset	0.037	eV per atom
calculated total energy	-2.6987	eV per atom
ΔH_f (0 K)	-14	meV per atom
space-group type	P4/mmm

```
Sr2LiTlNi
1.0
5.766 0.000 0.000
0.000 5.766 0.000
0.000 0.000 4.715
Tl Sr Ni Li
1 2 1 1
direct
0.500 0.500 0.500
0.500 0.000 0.000
0.000 0.500 0.000
0.000 0.000 0.000
0.000 0.000 0.500
```

Record 4
Li2LaEr2Sn2: relaxed, PBE.

Summary:
calculated total energy	-4.1743	eV per atom
ΔH_f (0 K)	-476	meV per atom
space-group type	R-3m

```
Li2LaEr2Sn2
1.0
-1.652 -1.852 -4.148
2.504 -3.456 -2.270
-4.221 -8.054 2.461
La Sn Li Er
1 2 2 2
direct
0.000 0.000 0.000
0.257 0.257 0.228
0.743 0.743 0.772
0.584 0.584 0.249
0.416 0.416 0.751
0.131 0.131 0.606
0.869 0.869 0.394
```

Record 5
MgTl2Te: relaxed, PBE.

Summary:
E_form (uncorrected)	-0.0713	eV/atom
energy above the most stable polymorph in this dataset	0.165	eV per atom
calculated total energy	-2.4385	eV per atom
space-group type	Cmmm

```
MgTl2Te
1.0
6.228 0.034 0.000
-2.325 5.778 0.000
0.000 0.000 3.276
Tl Mg Te
2 1 1
direct
0.500 0.500 0.000
0.000 0.000 0.000
0.500 0.000 0.500
0.000 0.500 0.500
```

Record 6
LiPr3Au3: relaxed, PBE.

Summary:
calculated total energy	-4.3522	eV per atom
ΔH_f (0 K)	-626	meV per atom
space-group type	Imm2

```
LiPr3Au3
1.0
4.444 0.000 -0.969
-0.196 3.872 -0.900
-0.052 0.375 10.430
Au Pr Li
3 3 1
direct
0.858 0.358 0.717
0.558 0.558 0.115
0.151 0.651 0.303
0.008 0.008 0.016
0.681 0.181 0.363
0.310 0.810 0.621
0.432 0.432 0.865
```

Record 7
MnReTe2: relaxed, PBE.

Summary:
E_form (uncorrected)	0.6366	eV/atom
energy above the most stable polymorph in this dataset	0.553	eV per atom
calculated total energy	-6.3386	eV per atom
space-group type	R-3m

```
MnReTe2
1.0
-1.526 -0.625 9.177
-1.589 -3.900 8.319
1.368 -2.363 8.915
Re Mn Te
1 1 2
direct
0.500 0.500 0.500
0.000 0.000 0.000
0.903 0.903 0.903
0.097 0.097 0.097
```

Record 8
Pm3Ga3Sn: relaxed, PBE.

Summary:
calculated total energy	-4.5503	eV per atom
ΔH_f (0 K)	-645	meV per atom
space-group type	Imm2

```
Pm3Ga3Sn
1.0
4.146 0.000 -0.904
-0.217 4.290 -0.997
0.031 0.081 10.097
Ga Sn Pm
3 1 3
direct
0.846 0.346 0.692
0.572 0.572 0.145
0.145 0.645 0.291
0.435 0.435 0.869
0.684 0.184 0.368
0.311 0.811 0.622
0.006 0.006 0.012
```

Record 9
NaIn3Br4: relaxed, PBE.

Summary:
E_form (uncorrected)	-0.8626	eV/atom
energy above the most stable polymorph in this dataset	0.000	eV per atom
calculated total energy	-2.8908	eV per atom
space-group type	P2/c

```
NaIn3Br4
1.0
-7.489 -0.347 -2.674
4.540 -5.294 -4.012
-1.961 -6.480 6.332
Br In Na
8 6 2
direct
0.016 0.762 0.358
0.995 0.772 0.885
0.984 0.238 0.642
0.484 0.238 0.358
0.495 0.772 0.115
0.505 0.228 0.885
0.516 0.762 0.642
0.005 0.228 0.115
0.250 0.500 0.370
0.750 0.500 0.630
0.250 0.000 0.628
0.750 0.000 0.372
0.250 0.500 0.878
0.750 0.500 0.122
0.750 0.000 0.879
0.250 0.000 0.121
```

Record 10
La2NdTmSe6: relaxed, PBE.

Summary:
E_form (uncorrected)	-1.9064	eV/atom
calculated total energy	-5.9065	eV per atom
space-group type	R3

```
La2NdTmSe6
1.0
7.484 0.000 0.000
3.742 6.481 0.000
3.742 2.160 6.543
Se La Tm Nd
6 2 1 1
direct
0.704 0.098 0.754
0.444 0.704 0.754
0.929 0.614 0.261
0.197 0.928 0.260
0.614 0.197 0.260
0.098 0.444 0.754
0.022 0.022 0.933
0.520 0.520 0.439
0.818 0.818 0.545
0.315 0.315 0.055
```

- The lowest calculated total energy belongs to which entry?
  MnReTe2